[1]
An optimized crystal structure of Tl2BiW. Source: the Alexandria database, functional PBE.

The space group is I-42d (No. 122) and the conventional cell measures 4.345, 4.345 and 22.591 Å, with angles of 90.00, 90.00 and 90.00 degrees. The distinct sites, in fractional coordinates, are Tl at (0.239, 0.250, 0.125), Bi at (0.000, 0.000, 0.500) and W at (0.000, 0.000, 0.000).

The value obtained for the calculated formation energy is 4.3 eV per formula unit. The polymorph energy (0 for the lowest one) is 0.000 eV/atom. Its total energy is -4.31 eV per atom. The value obtained for the density of states at the Fermi level is 0.705 states/eV/atom.


[2]
An optimized crystal structure of Pr6Ag2Hg. Source: the Alexandria database, functional PBE.

The space group is Immm (No. 71) and the conventional cell measures 10.198, 10.470 and 10.484 Å, with angles of 90.00, 90.00 and 90.00 degrees. The distinct sites, in fractional coordinates, are Pr at (0.000, 0.222, 0.174), Pr at (0.177, 0.233, 0.500), Pr at (0.198, 0.500, 0.248), Ag at (0.000, 0.000, 0.368), Ag at (0.142, 0.000, 0.000), Hg at (0.000, 0.500, 0.000) and Hg at (0.000, 0.500, 0.500).

The value obtained for the calculated formation energy is -1.6 eV per formula unit. Its total energy is -4.03 eV per atom. The value obtained for the density of states at the Fermi level is 1.287 states/eV/atom.